{"formula": "BaMnZn", "functional": "GGA-PBE", "state": "relaxed", "total_magnetization_mub_per_cell": 3.7, "ef_ev_per_fu": 2.64, "dos_ef_per_ev_atom": 1.00, "lattice": [[-4.827, -0.198, 2.308], [-2.266, -4.732, 1.066], [-0.478, -1.658, 5.068]], "species": ["Zn", "Mn", "Ba"], "frac_coords": [[0.500, 0.500, 0.500], [0.000, 0.000, 0.000], [0.250, 0.250, 0.250]]}

---

{"formula": "BeB2Ru2", "functional": "GGA-PBE", "state": "relaxed", "total_magnetization_mub_per_cell": 0.0, "ef_ev_per_fu": -1.55, "dos_ef_per_ev_atom": 0.33, "lattice": [[-5.569, -1.536, 0.327], [1.562, -5.290, 1.750], [-0.081, 0.870, 2.701]], "species": ["Ru", "Be", "Be", "Ru", "B", "B", "B", "Ru", "Ru", "B"], "frac_coords": [[0.309, 0.191, 0.500], [0.000, 0.000, 0.000], [0.500, 0.500, 0.000], [0.191, 0.691, 0.500], [0.109, 0.391, 0.000], [0.609, 0.109, 0.000], [0.391, 0.891, 0.000], [0.691, 0.809, 0.500], [0.809, 0.309, 0.500], [0.891, 0.609, 0.000]]}

---

{"formula": "Tb3Nd12Pu", "functional": "GGA-PBE", "state": "relaxed", "total_magnetization_mub_per_cell": 6.4, "ef_ev_per_fu": 0.71, "dos_ef_per_ev_atom": 2.00, "lattice": [[-0.204, 3.271, -3.978], [3.705, -2.672, -2.387], [-14.279, -11.793, -8.964]], "species": ["Nd", "Nd", "Nd", "Nd", "Nd", "Nd", "Nd", "Tb", "Tb", "Nd", "Nd", "Nd", "Pu", "Nd", "Nd", "Tb"], "frac_coords": [[0.500, 0.000, 0.122], [0.000, 0.500, 0.878], [0.500, 0.000, 0.626], [0.000, 0.500, 0.626], [0.500, 0.500, 0.000], [0.500, 0.500, 0.500], [0.000, 0.500, 0.122], [0.000, 0.000, 0.751], [0.000, 0.000, 0.249], [0.500, 0.500, 0.751], [0.000, 0.500, 0.374], [0.500, 0.500, 0.249], [0.000, 0.000, 0.000], [0.500, 0.000, 0.374], [0.500, 0.000, 0.878], [0.000, 0.000, 0.500]]}

---

{"formula": "Hf2Zn", "functional": "GGA-PBE", "state": "relaxed", "total_magnetization_mub_per_cell": 0.0, "ef_ev_per_fu": 0.85, "dos_ef_per_ev_atom": 1.08, "lattice": [[4.508, 0.000, 0.000], [2.254, 3.906, -0.001], [2.254, 1.303, 3.682]], "species": ["Zn", "Hf", "Hf"], "frac_coords": [[0.000, 0.000, 0.000], [0.750, 0.750, 0.750], [0.250, 0.250, 0.250]]}

---

{"formula": "CdIn2IrAu", "functional": "GGA-PBE", "state": "relaxed", "total_magnetization_mub_per_cell": 0.8, "ef_ev_per_fu": 4.40, "dos_ef_per_ev_atom": 0.85, "lattice": [[-1.283, 4.629, -1.783], [-4.792, -1.655, -0.847], [-1.337, 1.451, 4.729]], "species": ["Au", "Ir", "In", "In", "Cd"], "frac_coords": [[0.000, 0.000, 0.000], [0.500, 0.500, 0.500], [0.500, 0.000, 0.000], [0.000, 0.000, 0.500], [0.000, 0.500, 0.000]]}

---

{"formula": "PmSmTe2Cl", "functional": "GGA-PBE", "state": "relaxed", "e_form_raw_mev_per_atom": -1629, "total_magnetization_mub_per_cell": 0.0, "dos_ef_per_ev_atom": 0.28, "lattice": [[4.374, 0.000, 0.000], [0.000, 4.374, 0.000], [0.000, 0.000, 15.100]], "species": ["Pm", "Cl", "Sm", "Te", "Pm", "Te", "Sm", "Te", "Cl", "Te"], "frac_coords": [[0.000, 0.500, 0.368], [0.500, 0.500, 0.500], [0.500, 0.000, 0.085], [0.000, 0.500, 0.702], [0.500, 0.000, 0.632], [0.500, 0.000, 0.298], [0.000, 0.500, 0.915], [0.000, 0.500, 0.126], [0.000, 0.000, 0.500], [0.500, 0.000, 0.874]]}

---

{"formula": "In2RuCl", "functional": "GGA-PBE", "state": "relaxed", "e_above_lowest_polymorph_ev_per_fu": 2.74, "e_form_raw_mev_per_atom": 394, "total_magnetization_mub_per_cell": 1.6, "dos_ef_per_ev_atom": 0.73, "lattice": [[-0.168, 2.873, 1.548], [-0.361, -3.032, 5.586], [4.595, 0.084, 0.343]], "species": ["In", "In", "Cl", "Ru"], "frac_coords": [[0.500, 0.500, 0.000], [0.000, 0.000, 0.000], [0.000, 0.500, 0.500], [0.500, 0.000, 0.500]]}

---

{"formula": "ZnTc2Te", "functional": "GGA-PBE", "state": "relaxed", "e_above_lowest_polymorph_ev_per_fu": 0.00, "e_form_raw_mev_per_atom": 178, "total_magnetization_mub_per_cell": 0.0, "dos_ef_per_ev_atom": 0.48, "lattice": [[3.019, 0.003, 0.000], [-0.003, 3.019, 0.000], [0.000, 0.000, 8.396]], "species": ["Te", "Tc", "Tc", "Zn"], "frac_coords": [[0.000, 0.000, 0.435], [0.000, 0.000, 0.022], [0.500, 0.500, 0.212], [0.500, 0.500, 0.831]]}

---

no.,ρ (Mg/m³)
1,3.944
2,8.133
3,7.448
4,10.816
5,8.996
6,6.735
7,6.343
8,8.442